Record 1
## Tl17As12 (PBEsol)

Data for an optimized crystal structure of Tl17As12.

Unit cell a=9.908 b=9.908 c=9.908 alpha=109.47 beta=109.47 gamma=109.47
Fractional positions:
1 As 0.209 0.367 0.367
2 As 0.791 0.157 0.157
3 As 0.000 0.843 0.633
4 As 0.000 0.633 0.843
5 As 0.367 0.209 0.367
6 As 0.157 0.791 0.157
7 As 0.633 0.000 0.843
8 As 0.843 0.000 0.633
9 As 0.367 0.367 0.209
10 As 0.157 0.157 0.791
11 As 0.843 0.633 0.000
12 As 0.633 0.843 0.000
13 Tl 0.727 0.407 0.407
14 Tl 0.273 0.680 0.680
15 Tl 0.000 0.320 0.593
16 Tl 0.000 0.593 0.320
17 Tl 0.407 0.727 0.407
18 Tl 0.680 0.273 0.680
19 Tl 0.593 0.000 0.320
20 Tl 0.320 0.000 0.593
21 Tl 0.407 0.407 0.727
22 Tl 0.680 0.680 0.273
23 Tl 0.320 0.593 0.000
24 Tl 0.593 0.320 0.000
25 Tl 0.651 0.651 0.651
26 Tl 0.349 0.000 0.000
27 Tl 0.000 0.000 0.349
28 Tl 0.000 0.349 0.000
29 Tl 0.000 0.000 0.000

Results
energy of formation	10.8	kJ per mole of atoms
N(E_F)	11.0	states/eV per cell


Record 2
## Tl3As (PBEsol)

Data for an optimized crystal structure of Tl3As.

Unit cell a=4.837 b=4.837 c=5.640 alpha=115.39 beta=115.39 gamma=90.00
Fractional positions:
1 Tl 0.750 0.250 0.500
2 Tl 0.500 0.500 0.000
3 Tl 0.250 0.750 0.500
4 As 0.000 0.000 0.000

Results
energy of formation	8.6	kJ per mole of atoms
N(E_F)	1.7	states/eV per cell


Record 3
## Tl5As (PBEsol)

Data for an optimized crystal structure of Tl5As.

Unit cell a=3.988 b=6.237 c=7.171 alpha=105.33 beta=90.00 gamma=108.64
Fractional positions:
1 Tl 0.692 0.384 0.367
2 Tl 0.364 0.727 0.744
3 Tl 0.380 0.761 0.206
4 Tl 0.028 0.056 0.556
5 Tl 0.675 0.351 0.905
6 As 0.028 0.055 0.055

Results
energy of formation	3.3	kJ per mole of atoms
N(E_F)	2.2	states/eV per cell
excess energy over the best structure of this formula in the dataset	0.000	eV/atom


Record 4
## Tl5As (PBEsol)

Data for an optimized crystal structure of Tl5As.

Unit cell a=5.148 b=6.043 c=6.043 alpha=120.00 beta=90.00 gamma=90.00
Fractional positions:
1 As 0.500 0.000 0.000
2 Tl 0.000 0.314 0.314
3 Tl 0.000 0.686 0.000
4 Tl 0.000 0.000 0.686
5 Tl 0.500 0.333 0.667
6 Tl 0.500 0.667 0.333

Results
energy of formation	7.2	kJ per mole of atoms
N(E_F)	2.8	states/eV per cell
excess energy over the best structure of this formula in the dataset	0.039	eV/atom